VASP calculation (PBE with a Hubbard U) on a relaxed CrSi3F crystal.

Cell lengths 4.3538, 4.3538, 4.3538 Å; angles 90.00, 90.00, 90.00 degrees
Element x y z (fractional)
Cr (0.0000, 0.0000, 0.0000)
Si (0.0000, 0.5000, 0.5000)
Si (0.5000, 0.0000, 0.5000)
Si (0.5000, 0.5000, 0.0000)
F (0.5000, 0.5000, 0.5000)

Calculated values
**Polymorph energy (0 for the lowest one)**: 71 meV per atom
**Raw total energy**: -23.6 eV per cell
**DOS at the Fermi energy**: 2.4 states/eV/f.u.
**SG**: Pm-3m